1.
Compound: Tl3PdPt
Source: Alexandria
Functional: PBE
Structure: relaxed

Results
- ΔE_f: -48 meV per atom
- E above lowest polymorph: 0.032 eV per atom
- E: -3.714 eV/atom

abc: 3.539 7.680 9.462
angles: 105.68 100.56 90.01
Space group P-1 (No. 2)
One atom of each set of equivalent atoms:
Tl 0.059 0.336 0.116 (multiplicity 2)
Tl 0.128 0.939 0.253 (multiplicity 2)
Tl 0.283 0.350 0.568 (multiplicity 2)
Pd 0.337 0.762 0.677 (multiplicity 2)
Pt 0.433 0.353 0.869 (multiplicity 2)

---

2.
Compound: DyHo12Th3
Source: Alexandria
Functional: PBE
Structure: relaxed

Results
- ΔE_f: 34 meV per atom
- E: -5.078 eV/atom

abc: 5.007 5.007 19.933
angles: 90.00 90.00 90.00
Space group P4/mmm (No. 123)
One atom of each set of equivalent atoms:
Dy 0.000 0.000 0.000 (multiplicity 1)
Ho 0.000 0.500 0.126 (multiplicity 4)
Ho 0.000 0.500 0.375 (multiplicity 4)
Ho 0.500 0.500 0.000 (multiplicity 1)
Ho 0.500 0.500 0.250 (multiplicity 2)
Ho 0.500 0.500 0.500 (multiplicity 1)
Th 0.000 0.000 0.251 (multiplicity 2)
Th 0.000 0.000 0.500 (multiplicity 1)

---

3.
Compound: TaIrPt
Source: Alexandria
Functional: PBE
Structure: relaxed

Results
- ΔE_f: -585 meV per atom
- E above lowest polymorph: 0.008 eV per atom
- E: -9.503 eV/atom

abc: 4.867 4.637 4.902
angles: 90.00 119.15 90.00
Space group P2_1/m (No. 11)
One atom of each set of equivalent atoms:
Ta 0.207 0.250 0.493 (multiplicity 2)
Ir 0.149 0.750 0.192 (multiplicity 2)
Pt 0.496 0.750 0.849 (multiplicity 2)

---

4.
Compound: Sr5Se2N2
Source: Alexandria
Functional: PBE
Structure: relaxed

Results
- Formation energy from raw total energies: -1.149 eV per atom
- E: -4.708 eV/atom

abc: 14.282 5.060 8.181
angles: 90.00 124.77 90.00
Space group C2/m (No. 12)
One atom of each set of equivalent atoms:
Sr 0.000 0.000 0.000 (multiplicity 2)
Sr 0.119 0.000 0.730 (multiplicity 4)
Sr 0.149 0.500 0.387 (multiplicity 4)
Se 0.122 0.500 0.964 (multiplicity 4)
N 0.114 0.000 0.419 (multiplicity 4)

---

| no. | magnetization (μB/f.u.) |
| --- | --- |
| 1 | 0.0 |
| 2 | 0.0 |
| 3 | 0.0 |
| 4 | 0.0 |